Density functional theory data (PBE) for BaTlFe2Br8 after structural relaxation.

a b c (Å): 11.5527 8.0183 10.5044
angles (deg): 90.00 92.11 90.00
Space group C2/m (No. 12)
Asymmetric unit:
Ba: 0.0000 0.0000 0.0000 [2 per cell]
Tl: 0.0000 0.0000 0.5000 [2 per cell]
Fe: 0.1146 0.5000 0.7597 [4 per cell]
Br: 0.0111 0.2568 0.2433 [8 per cell]
Br: 0.2170 0.5000 0.9628 [4 per cell]
Br: 0.2175 0.5000 0.5715 [4 per cell]

Summary:
- M_tot: 0.750 μB per atom
- Total energy: -3.835 eV per atom
- Formation energy (no corrections): -11.4 eV per formula unit